No. 1
Entry from Alexandria via LeMat-Bulk: an optimized crystal structure of NbFe2Br8 (PBE).

N(E_F)	0.5472	states/eV per atom
ΔE_f (raw)	-59.0	kJ/mol of atoms
space-group type	No. 12
VASP energy	-47.11	eV/cell

extended XYZ file:
```
11
Lattice="-4.457 -0.718 4.325 -4.449 -4.193 -5.299 1.958 -7.819 0.702" Properties=species:S:1:pos:R:3 pbc="T T T"
Br -0.584 -8.220 0.076
Br -2.598 -6.642 3.180
Br -4.350 -6.088 -3.452
Fe -4.917 -10.466 -1.073
Br -2.133 -4.286 -0.312
Fe -2.031 -2.265 0.800
Br -4.816 -8.444 0.040
Br -3.179 -10.240 -2.792
Br -6.365 -4.511 -0.348
Nb 0.000 0.000 0.000
Br -3.770 -2.491 2.520
```

***

No. 2
Entry from Alexandria via LeMat-Bulk: an optimized crystal structure of NbFe2Br2 (PBE).

N(E_F)	1.4523	states/eV per atom
energy above the lowest structure with this stoichiometry	0.3816	eV per atom
ΔE_f (raw)	102.4	kJ/mol of atoms
space-group type	No. 139
VASP energy	-25.03	eV/cell

extended XYZ file:
```
5
Lattice="-0.752 -2.640 2.958 3.922 -0.935 0.162 2.337 1.988 5.120" Properties=species:S:1:pos:R:3 pbc="T T T"
Fe 1.739 -1.014 2.290
Br 1.585 -1.219 4.819
Nb 0.000 0.000 0.000
Fe 3.768 -0.573 5.951
Br 3.922 -0.367 3.421
```

***

No. 3
Entry from Alexandria via LeMat-Bulk: an optimized crystal structure of Nb2FeBr (PBE).

N(E_F)	0.5409	states/eV per atom
ΔE_f (raw)	79.6	kJ/mol of atoms
space-group type	No. 122
VASP energy	-53.95	eV/cell

extended XYZ file:
```
8
Lattice="-4.779 1.636 2.529 1.973 -1.883 4.946 0.911 5.029 4.777" Properties=species:S:1:pos:R:3 pbc="T T T"
Fe -1.403 -0.124 3.738
Nb -1.883 3.662 9.843
Fe 0.741 1.511 6.731
Nb 0.593 0.377 4.745
Br 0.000 0.000 0.000
Nb -0.257 3.572 6.666
Nb -2.241 1.951 3.250
Br -2.635 3.270 5.522
```

***

No. 4
Entry from Alexandria via LeMat-Bulk: an optimized crystal structure of NbFe2Br (PBE).

N(E_F)	1.4337	states/eV per atom
energy above the lowest structure with this stoichiometry	0.0393	eV per atom
ΔE_f (raw)	84.1	kJ/mol of atoms
space-group type	No. 122
VASP energy	-50.36	eV/cell

extended XYZ file:
```
8
Lattice="6.700 0.000 0.000 0.000 6.700 0.000 3.350 3.350 2.665" Properties=species:S:1:pos:R:3 pbc="T T T"
Fe 8.375 8.255 1.998
Fe 4.905 1.675 0.666
Nb 6.700 3.350 1.332
Fe 5.025 5.145 1.998
Br 3.350 6.700 1.332
Nb 0.000 0.000 0.000
Fe 1.795 5.025 0.666
Br 3.350 3.350 0.000
```

***

No. 5
Entry from Alexandria via LeMat-Bulk: an optimized crystal structure of NbFe2Br (PBE).

N(E_F)	1.2188	states/eV per atom
energy above the lowest structure with this stoichiometry	0.0000	eV per atom
ΔE_f (raw)	80.3	kJ/mol of atoms
space-group type	No. 225
VASP energy	-25.34	eV/cell

extended XYZ file:
```
4
Lattice="0.000 3.120 3.120 3.120 0.000 3.120 3.120 3.120 0.000" Properties=species:S:1:pos:R:3 pbc="T T T"
Nb 3.120 3.120 3.120
Fe 4.680 4.680 4.680
Br 0.000 0.000 0.000
Fe 1.560 1.560 1.560
```

***

No. 6
Entry from Alexandria via LeMat-Bulk: an optimized crystal structure of NbFeOsBr2 (PBE).

N(E_F)	1.2134	states/eV per atom
ΔE_f (raw)	176.8	kJ/mol of atoms
space-group type	No. 123
VASP energy	-23.94	eV/cell

extended XYZ file:
```
5
Lattice="4.994 0.000 0.000 0.000 4.769 0.000 0.000 0.000 4.994" Properties=species:S:1:pos:R:3 pbc="T T T"
Br 2.497 0.000 0.000
Br 0.000 0.000 2.497
Nb 0.000 0.000 0.000
Fe 0.000 2.385 0.000
Os 2.497 2.385 2.497
```

***

No. 7
Entry from Alexandria via LeMat-Bulk: an optimized crystal structure of Rb2NbFeBr6 (PBE).

N(E_F)	1.9936	states/eV per atom
ΔE_f (raw)	-87.6	kJ/mol of atoms
space-group type	No. 225
VASP energy	-39.58	eV/cell

extended XYZ file:
```
10
Lattice="7.577 0.000 0.000 0.000 7.577 0.000 3.789 3.789 5.356" Properties=species:S:1:pos:R:3 pbc="T T T"
Br 5.665 5.665 0.000
Br 5.665 1.912 0.000
Br 1.912 5.665 0.000
Rb 7.577 3.789 2.678
Br 1.912 1.912 0.000
Fe 3.789 3.789 0.000
Br 7.577 7.577 2.703
Rb 3.789 7.577 2.678
Nb 0.000 0.000 0.000
Br 3.789 3.789 2.652
```

***

No. 8
Entry from Alexandria via LeMat-Bulk: an optimized crystal structure of Nb2FeRhBr (PBE).

N(E_F)	0.9560	states/eV per atom
ΔE_f (raw)	101.2	kJ/mol of atoms
space-group type	No. 123
VASP energy	-32.38	eV/cell

extended XYZ file:
```
5
Lattice="4.877 0.000 0.000 0.000 4.734 0.000 0.000 0.000 4.877" Properties=species:S:1:pos:R:3 pbc="T T T"
Fe 0.000 2.367 0.000
Rh 0.000 0.000 0.000
Nb 0.000 0.000 2.439
Nb 2.439 0.000 0.000
Br 2.439 2.367 2.439
```